Below is a crystal of YZnTc2 relaxed with PBEsol, with properties calculated at the SCAN level.

## Properties
Energy of formation = 0.31 eV per formula unit
SG = P4/mmm (123)

Unit cell a=3.3563 b=3.3563 c=6.1581 alpha=90.00 beta=90.00 gamma=90.00
With the nearest neighbours (Å) after each atom.
Atoms (fractional coordinates):
1 Tc 0.0000 0.0000 0.6845  1 Tc 2.27
2 Tc 0.0000 0.0000 0.3155  1 Tc 2.27
3 Y 0.5000 0.5000 0.0000  8 Tc 3.07, 2 Zn 3.08, 4 Y 3.36
4 Zn 0.5000 0.5000 0.5000  8 Tc 2.63

=====

Below is a crystal of YZnTc2 relaxed with PBEsol, with properties calculated at the SCAN level.

## Properties
Energy of formation = 0.70 eV per formula unit
SG = Pmmm (47)

Unit cell a=3.4148 b=4.3376 c=4.4260 alpha=90.00 beta=90.00 gamma=90.00
With the nearest neighbours (Å) after each atom.
Atoms (fractional coordinates):
1 Tc 0.0000 0.0000 0.0000  4 Tc 2.76, 4 Y 2.80
2 Tc 0.5000 0.5000 0.0000  4 Tc 2.76, 4 Zn 2.80
3 Y 0.5000 0.0000 0.5000  4 Zn 2.76, 4 Tc 2.80
4 Zn 0.0000 0.5000 0.5000  4 Y 2.76, 4 Tc 2.80

=====

Below is a crystal of YZnTc2 relaxed with PBEsol, with properties calculated at the SCAN level.

## Properties
Energy of formation = 0.27 eV per formula unit
SG = F-43m (216)

Unit cell a=4.5202 b=4.5202 c=4.5202 alpha=60.00 beta=60.00 gamma=60.00
With the nearest neighbours (Å) after each atom.
Atoms (fractional coordinates):
1 Zn 0.2500 0.2500 0.2500  4 Tc 2.77, 4 Y 2.77
2 Tc 0.0000 0.0000 0.0000  4 Tc 2.77, 4 Zn 2.77
3 Tc 0.7500 0.7500 0.7500  4 Tc 2.77, 4 Y 2.77
4 Y 0.5000 0.5000 0.5000  4 Tc 2.77, 4 Zn 2.77

=====

Below is a crystal of YZnTc relaxed with PBEsol, with properties calculated at the SCAN level.

## Properties
Energy of formation = 0.10 eV per formula unit
SG = P-6m2 (187)

Unit cell a=3.5699 b=4.2912 c=4.2912 alpha=120.00 beta=90.00 gamma=90.00
With the nearest neighbours (Å) after each atom.
Atoms (fractional coordinates):
1 Tc 0.5000 0.0000 0.0000  3 Zn 2.48
2 Zn 0.5000 0.6667 0.3333  3 Tc 2.48
3 Y 0.0000 0.3333 0.6667  6 Zn 3.05, 6 Tc 3.05

=====

Below is a crystal of Y2ZrTc relaxed with PBEsol, with properties calculated at the SCAN level.

## Properties
ΔE to the lowest computed polymorph = 0.356 eV/atom
Energy of formation = 1.03 eV per formula unit
SG = I4/mmm (139)

Unit cell a=4.1833 b=4.1833 c=5.7807 alpha=111.21 beta=111.21 gamma=90.00
With the nearest neighbours (Å) after each atom.
Atoms (fractional coordinates):
1 Zr 0.5000 0.5000 0.0000  4 Tc 2.96, 8 Y 3.25
2 Tc 0.0000 0.0000 0.0000  4 Zr 2.96, 8 Y 3.25
3 Y 0.2500 0.7500 0.5000  4 Y 2.96, 4 Zr 3.25, 4 Tc 3.25
4 Y 0.7500 0.2500 0.5000  4 Y 2.96, 4 Zr 3.25, 4 Tc 3.25

=====

Below is a crystal of Y2ZrTc relaxed with PBEsol, with properties calculated at the SCAN level.

## Properties
ΔE to the lowest computed polymorph = 0.000 eV/atom
Energy of formation = -0.40 eV per formula unit
SG = Imm2 (44)

Unit cell a=3.4835 b=5.1720 c=6.0237 alpha=115.42 beta=106.81 gamma=90.00
With the nearest neighbours (Å) after each atom.
Atoms (fractional coordinates):
1 Y 0.7536 0.7536 0.5071  4 Tc 3.12, 2 Zr 3.32, 6 Y 3.36-3.48
2 Y 0.9618 0.4618 0.9236  2 Tc 2.93, 4 Zr 3.25
3 Zr 0.5511 0.0511 0.1023  2 Tc 2.56
4 Tc 0.2335 0.2335 0.4670  2 Zr 2.56

=====

Below is a crystal of Y2ZrTc relaxed with PBEsol, with properties calculated at the SCAN level.

## Properties
ΔE to the lowest computed polymorph = 0.443 eV/atom
Energy of formation = 1.37 eV per formula unit
SG = C2/m (12)

Unit cell a=3.1270 b=5.7225 c=5.7225 alpha=117.20 beta=99.60 gamma=99.60
With the nearest neighbours (Å) after each atom.
Atoms (fractional coordinates):
1 Tc 0.5000 0.5000 0.5000  2 Zr 2.98, 4 Y 3.02, 2 Tc 3.13
2 Zr 0.5000 0.0000 0.0000  2 Tc 2.98, 4 Y 3.02, 2 Zr 3.13
3 Y 0.0000 0.5000 0.0000  4 Y 2.98-3.13, 2 Zr 3.02, 2 Tc 3.02
4 Y 0.0000 0.0000 0.5000  4 Y 2.98-3.13, 2 Tc 3.02, 2 Zr 3.02

=====

Below is a crystal of YZrTc4 relaxed with PBEsol, with properties calculated at the SCAN level.

## Properties
Energy of formation = -1.66 eV per formula unit
SG = F-43m (216)

Unit cell a=5.2642 b=5.2642 c=5.2642 alpha=60.00 beta=60.00 gamma=60.00
With the nearest neighbours (Å) after each atom.
Atoms (fractional coordinates):
1 Tc 0.3747 0.3747 0.3747  6 Tc 2.63-2.64
2 Tc 0.3747 0.8760 0.3747  6 Tc 2.63-2.64
3 Tc 0.8760 0.3747 0.3747  6 Tc 2.63-2.64
4 Tc 0.3747 0.3747 0.8760  6 Tc 2.63-2.64
5 Zr 0.0000 0.0000 0.0000  12 Tc 3.09, 4 Y 3.22
6 Y 0.7500 0.7500 0.7500  12 Tc 3.09, 4 Zr 3.22

=====

Below is a crystal of Zn3Tc relaxed with PBEsol, with properties calculated at the SCAN level.

## Properties
Energy of formation = -0.04 eV per formula unit
SG = Cmmm (65)

Unit cell a=2.6553 b=4.7067 c=4.7067 alpha=111.83 beta=90.00 gamma=90.00
With the nearest neighbours (Å) after each atom.
Atoms (fractional coordinates):
1 Zn 0.5000 0.5000 0.0000  8 Zn 2.64-2.70, 4 Tc 2.70
2 Zn 0.5000 0.0000 0.5000  8 Zn 2.64-2.70, 4 Tc 2.70
3 Zn 0.0000 0.5000 0.5000  2 Tc 2.64, 10 Zn 2.66-2.70
4 Tc 0.0000 0.0000 0.0000  10 Zn 2.64-2.70, 2 Tc 2.66

=====

Below is a crystal of ZnTc2 relaxed with PBEsol, with properties calculated at the SCAN level.

## Properties
ΔE to the lowest computed polymorph = 0.080 eV/atom
Energy of formation = -0.03 eV per formula unit
SG = Cmcm (63)

Unit cell a=2.7648 b=4.3091 c=7.0163 alpha=90.00 beta=101.36 gamma=90.00
With the nearest neighbours (Å) after each atom.
Atoms (fractional coordinates):
1 Zn 0.3890 0.7500 0.7781  10 Tc 2.61-2.73, 2 Zn 2.76
2 Zn 0.6110 0.2500 0.2219  10 Tc 2.61-2.73, 2 Zn 2.76
3 Tc 0.2817 0.2500 0.5634  4 Zn 2.61-2.73, 8 Tc 2.64-2.76
4 Tc 0.0552 0.7500 0.1105  6 Tc 2.64-2.76, 6 Zn 2.67
5 Tc 0.7183 0.7500 0.4366  4 Zn 2.61-2.73, 8 Tc 2.64-2.76
6 Tc 0.9448 0.2500 0.8895  6 Tc 2.64-2.76, 6 Zn 2.67

=====

Below is a crystal of ZnTc2 relaxed with PBEsol, with properties calculated at the SCAN level.

## Properties
ΔE to the lowest computed polymorph = 0.102 eV/atom
Energy of formation = 0.04 eV per formula unit
SG = C2/m (12)

Unit cell a=2.7689 b=5.1176 c=6.2818 alpha=104.85 beta=90.00 gamma=105.70
With the nearest neighbours (Å) after each atom.
Atoms (fractional coordinates):
1 Zn 0.3033 0.6066 0.3700  4 Zn 2.57-2.77, 8 Tc 2.66-2.77
2 Zn 0.6967 0.3934 0.6300  4 Zn 2.57-2.77, 8 Tc 2.66-2.77
3 Tc 0.0154 0.0309 0.2930  7 Tc 2.60-2.77, 5 Zn 2.66-2.75
4 Tc 0.3643 0.7287 0.9648  9 Tc 2.59-2.78, 3 Zn 2.69-2.77
5 Tc 0.9846 0.9691 0.7070  7 Tc 2.60-2.77, 5 Zn 2.66-2.75
6 Tc 0.6357 0.2713 0.0352  9 Tc 2.59-2.78, 3 Zn 2.69-2.77

=====

Below is a crystal of Zn5Tc24 relaxed with PBEsol, with properties calculated at the SCAN level.

## Properties
Energy of formation = -1.47 eV per formula unit
SG = I-43m (217)

Unit cell a=8.1310 b=8.1310 c=8.1310 alpha=109.47 beta=109.47 gamma=109.47
With the nearest neighbours (Å) after each atom.
Atoms (fractional coordinates):
1 Tc 0.0000 0.3769 0.1936  6 Tc 2.43-2.64
2 Tc 0.6022 0.2834 0.6022  5 Tc 2.48-2.76, 1 Zn 2.73
3 Tc 0.3187 0.3187 0.7166  5 Tc 2.48-2.76, 1 Zn 2.73
4 Tc 0.7166 0.3187 0.3187  5 Tc 2.48-2.76, 1 Zn 2.73
5 Tc 0.3187 0.7166 0.3187  5 Tc 2.48-2.76, 1 Zn 2.73
6 Tc 0.0000 0.6813 0.3978  5 Tc 2.48-2.76, 1 Zn 2.73
7 Tc 0.1936 0.0000 0.3769  6 Tc 2.43-2.64
8 Tc 0.1936 0.3769 0.0000  6 Tc 2.43-2.64
9 Tc 0.0000 0.3978 0.6813  5 Tc 2.48-2.76, 1 Zn 2.73
10 Tc 0.2834 0.6022 0.6022  5 Tc 2.48-2.76, 1 Zn 2.73
11 Tc 0.8064 0.8064 0.1833  6 Tc 2.43-2.64
12 Tc 0.6231 0.8167 0.6231  6 Tc 2.43-2.64
13 Tc 0.3978 0.6813 0.0000  5 Tc 2.48-2.76, 1 Zn 2.73
14 Tc 0.3769 0.0000 0.1936  6 Tc 2.43-2.64
15 Tc 0.3978 0.0000 0.6813  5 Tc 2.48-2.76, 1 Zn 2.73
16 Tc 0.6022 0.6022 0.2834  5 Tc 2.48-2.76, 1 Zn 2.73
17 Tc 0.8064 0.1833 0.8064  6 Tc 2.43-2.64
18 Tc 0.8167 0.6231 0.6231  6 Tc 2.43-2.64
19 Tc 0.6813 0.0000 0.3978  5 Tc 2.48-2.76, 1 Zn 2.73
20 Tc 0.6813 0.3978 0.0000  5 Tc 2.48-2.76, 1 Zn 2.73
21 Tc 0.0000 0.1936 0.3769  6 Tc 2.43-2.64
22 Tc 0.3769 0.1936 0.0000  6 Tc 2.43-2.64
23 Tc 0.6231 0.6231 0.8167  6 Tc 2.43-2.64
24 Tc 0.1833 0.8064 0.8064  6 Tc 2.43-2.64
25 Zn 0.0000 0.0000 0.0000  4 Zn 2.82, 12 Tc 2.94
26 Zn 0.0000 0.0000 0.6538  9 Tc 2.73-2.81, 1 Zn 2.82
27 Zn 0.0000 0.6538 0.0000  9 Tc 2.73-2.81, 1 Zn 2.82
28 Zn 0.3462 0.3462 0.3462  9 Tc 2.73-2.81, 1 Zn 2.82
29 Zn 0.6538 0.0000 0.0000  9 Tc 2.73-2.81, 1 Zn 2.82

=====

- Which of these has the highest energy of formation?
  number 7